{"formula": "TmZn4CuNi2", "functional": "PBE", "state": "relaxed", "delta_e_f_ev_per_fu": -1.48, "lattice": [[4.3066, 0.0000, 0.0000], [2.1533, 3.7296, 0.0000], [2.1533, 1.2432, 7.2814]], "species": ["Tm", "Zn", "Zn", "Zn", "Zn", "Cu", "Ni", "Ni"], "fractional_positions": [[0.0000, 0.0000, 0.0000], [0.3910, 0.3910, 0.8270], [0.8657, 0.8657, 0.4030], [0.1343, 0.1343, 0.5970], [0.6090, 0.6090, 0.1730], [0.5000, 0.5000, 0.5000], [0.7468, 0.7468, 0.7596], [0.2532, 0.2532, 0.2404]]}

{"formula": "Tm4ZnCu2Ni", "functional": "PBE", "state": "relaxed", "delta_e_f_ev_per_fu": -2.84, "lattice": [[4.8353, 0.0000, 0.0000], [2.4177, 4.1875, 0.0000], [2.4177, 1.3958, 7.8934]], "species": ["Tm", "Tm", "Tm", "Tm", "Zn", "Cu", "Cu", "Ni"], "fractional_positions": [[0.3793, 0.3793, 0.8622], [0.8714, 0.8714, 0.3858], [0.1286, 0.1286, 0.6142], [0.6207, 0.6207, 0.1378], [0.0000, 0.0000, 0.0000], [0.7461, 0.7461, 0.7616], [0.2539, 0.2539, 0.2384], [0.5000, 0.5000, 0.5000]]}

{"formula": "Tm2Zn12CuNi3", "functional": "PBE", "state": "relaxed", "delta_e_f_ev_per_fu": 3.88, "lattice": [[-4.5981, 5.5213, -0.8110], [-4.3225, -1.9289, -5.4663], [-6.1427, -2.1823, 3.1288]], "species": ["Tm", "Tm", "Zn", "Zn", "Zn", "Zn", "Zn", "Zn", "Zn", "Zn", "Zn", "Zn", "Zn", "Zn", "Cu", "Ni", "Ni", "Ni"], "fractional_positions": [[0.6086, 0.6086, 0.6086], [0.3914, 0.3914, 0.3914], [0.3135, 0.3135, 0.8498], [0.8539, 0.8539, 0.3452], [0.3452, 0.8539, 0.8539], [0.8498, 0.3135, 0.3135], [0.8539, 0.3452, 0.8539], [0.3135, 0.8498, 0.3135], [0.6865, 0.6865, 0.1502], [0.1461, 0.1461, 0.6548], [0.6548, 0.1461, 0.1461], [0.1502, 0.6865, 0.6865], [0.1461, 0.6548, 0.1461], [0.6865, 0.1502, 0.6865], [0.0000, 0.0000, 0.0000], [0.5000, 0.0000, 0.0000], [0.0000, 0.5000, 0.0000], [0.0000, 0.0000, 0.5000]]}

{"formula": "TmZn3CuNi", "functional": "PBE", "state": "relaxed", "delta_e_f_ev_per_fu": -0.79, "lattice": [[5.2306, 0.0000, 0.0000], [0.0000, 5.6481, 0.0000], [0.0000, -2.8241, 6.5189]], "species": ["Tm", "Tm", "Zn", "Zn", "Zn", "Zn", "Zn", "Zn", "Cu", "Cu", "Ni", "Ni"], "fractional_positions": [[0.7500, 0.2966, 0.5932], [0.2500, 0.7034, 0.4068], [0.2500, 0.1480, 0.2960], [0.0000, 0.2832, 0.0000], [0.5000, 0.7168, 0.0000], [0.5000, 0.2832, 0.0000], [0.0000, 0.7168, 0.0000], [0.7500, 0.8520, 0.7040], [0.2500, 0.9021, 0.8043], [0.7500, 0.0979, 0.1957], [0.2500, 0.3501, 0.7002], [0.7500, 0.6499, 0.2998]]}

{"formula": "Tm2Zn3Cu12Ni", "functional": "PBE", "state": "relaxed", "delta_e_f_ev_per_fu": 0.61, "lattice": [[11.3332, 3.6157, 2.5646], [8.7409, 8.0691, 2.5646], [8.7409, 5.0880, 6.7676]], "species": ["Tm", "Tm", "Zn", "Zn", "Zn", "Cu", "Cu", "Cu", "Cu", "Cu", "Cu", "Cu", "Cu", "Cu", "Cu", "Cu", "Cu", "Ni"], "fractional_positions": [[0.6453, 0.6453, 0.6453], [0.3547, 0.3547, 0.3547], [0.5000, 0.0000, 0.0000], [0.0000, 0.5000, 0.0000], [0.0000, 0.0000, 0.5000], [0.3961, 0.3961, 0.8767], [0.8898, 0.8898, 0.3868], [0.3868, 0.8898, 0.8898], [0.8767, 0.3961, 0.3961], [0.8898, 0.3868, 0.8898], [0.3961, 0.8767, 0.3961], [0.6039, 0.6039, 0.1233], [0.1102, 0.1102, 0.6132], [0.6132, 0.1102, 0.1102], [0.1233, 0.6039, 0.6039], [0.1102, 0.6132, 0.1102], [0.6039, 0.1233, 0.6039], [0.0000, 0.0000, 0.0000]]}

{"formula": "TmZn5CuNi2", "functional": "PBE", "state": "relaxed", "delta_e_f_ev_per_fu": -0.23, "lattice": [[-0.0793, -2.4823, 3.8376], [-0.3083, -3.8265, -2.4815], [6.8988, -0.4567, -0.1528]], "species": ["Tm", "Zn", "Zn", "Zn", "Zn", "Zn", "Cu", "Ni", "Ni"], "fractional_positions": [[0.0000, 0.0000, 0.5000], [0.0000, 0.5000, 0.2045], [0.5000, 0.0000, 0.2045], [0.0000, 0.5000, 0.7955], [0.5000, 0.0000, 0.7955], [0.5000, 0.5000, 0.5000], [0.0000, 0.0000, 0.0000], [0.5000, 0.5000, 0.1642], [0.5000, 0.5000, 0.8358]]}

{"formula": "TmZnCuNi", "functional": "PBE", "state": "relaxed", "delta_e_f_ev_per_fu": -1.05, "lattice": [[-3.6969, 1.7410, 1.8102], [-3.8897, -2.1756, -0.3339], [-1.8207, -1.8906, 3.6174]], "species": ["Ni", "Zn", "Tm", "Cu"], "fractional_positions": [[0.7500, 0.7500, 0.7500], [0.5000, 0.5000, 0.5000], [0.0000, 0.0000, 0.0000], [0.2500, 0.2500, 0.2500]]}

{"formula": "UCuNi2", "functional": "PBE", "state": "relaxed", "delta_e_f_ev_per_fu": -0.25, "lattice": [[-0.4628, 0.8095, -2.8283], [2.6933, -1.0352, -0.7370], [-2.4977, -5.6400, -1.2054]], "species": ["Ni", "Ni", "U", "Cu"], "fractional_positions": [[0.0000, 0.0000, 0.7875], [0.0000, 0.0000, 0.2125], [0.5000, 0.5000, 0.5000], [0.5000, 0.5000, 0.0000]]}

{"formula": "UCu4Ni", "functional": "PBE", "state": "relaxed", "delta_e_f_ev_per_fu": 0.37, "lattice": [[-4.0265, -2.5002, 1.3162], [-3.0900, -1.6744, -3.4416], [-0.3005, -4.8272, -0.8970]], "species": ["Ni", "U", "Cu", "Cu", "Cu", "Cu"], "fractional_positions": [[0.0000, 0.0000, 0.0000], [0.2500, 0.2500, 0.2500], [0.6262, 0.6262, 0.1215], [0.6262, 0.1215, 0.6262], [0.6262, 0.6262, 0.6262], [0.1215, 0.6262, 0.6262]]}

{"formula": "UCuNi2", "functional": "PBE", "state": "relaxed", "delta_e_f_ev_per_fu": -0.12, "lattice": [[4.0896, 0.0000, 0.0000], [2.0448, 3.5417, 0.0000], [2.0448, 1.1806, 4.2146]], "species": ["Ni", "Ni", "U", "Cu"], "fractional_positions": [[0.2824, 0.2824, 0.1528], [0.7176, 0.7176, 0.8472], [0.5000, 0.5000, 0.5000], [0.0000, 0.0000, 0.0000]]}

{"formula": "VCu3Ni", "functional": "PBE", "state": "relaxed", "relative_energy_kj_per_mol_atoms": 0.00, "delta_e_f_ev_per_fu": 4.79, "lattice": [[4.3333, 0.0000, 0.0000], [0.0000, 4.3333, 0.0000], [0.0000, 0.0000, 4.3333]], "species": ["Ni", "Cu", "Cu", "Cu", "V"], "fractional_positions": [[0.0000, 0.0000, 0.0000], [0.0000, 0.5000, 0.0000], [0.0000, 0.0000, 0.5000], [0.5000, 0.0000, 0.0000], [0.5000, 0.5000, 0.5000]]}

{"formula": "VCuNi2", "functional": "PBE", "state": "relaxed", "relative_energy_kj_per_mol_atoms": 4.96, "delta_e_f_ev_per_fu": -0.22, "lattice": [[4.0412, 0.0000, 0.0000], [2.0206, 3.4998, 0.0000], [2.0206, 1.1666, 3.2996]], "species": ["Ni", "Ni", "Cu", "V"], "fractional_positions": [[0.2500, 0.2500, 0.2500], [0.7500, 0.7500, 0.7500], [0.5000, 0.5000, 0.5000], [0.0000, 0.0000, 0.0000]]}

{"formula": "VCu2Ni6", "functional": "PBE", "state": "relaxed", "delta_e_f_ev_per_fu": -0.23, "lattice": [[2.4810, 0.0000, 0.0000], [0.0000, 5.9775, -3.4511], [0.0000, 0.0000, 6.9022]], "species": ["V", "Cu", "Cu", "Ni", "Ni", "Ni", "Ni", "Ni", "Ni"], "fractional_positions": [[0.5000, 0.0000, 0.0000], [0.0000, 0.3333, 0.6667], [0.0000, 0.6667, 0.3333], [0.0000, 0.6954, 0.0000], [0.5000, 0.6510, 0.6510], [0.5000, 0.0000, 0.3490], [0.0000, 0.0000, 0.6954], [0.0000, 0.3046, 0.3046], [0.5000, 0.3490, 0.0000]]}

{"formula": "VCu2Ni", "functional": "PBE", "state": "relaxed", "relative_energy_kj_per_mol_atoms": 0.00, "delta_e_f_ev_per_fu": 0.49, "lattice": [[3.9480, -0.9619, 0.3509], [2.0363, 0.9525, 3.4031], [1.1608, -2.9436, 2.5734]], "species": ["Ni", "Cu", "Cu", "V"], "fractional_positions": [[0.5000, 0.5000, 0.5000], [0.2500, 0.2500, 0.2500], [0.7500, 0.7500, 0.7500], [0.0000, 0.0000, 0.0000]]}

{"formula": "VCu3Ni", "functional": "PBE", "state": "relaxed", "relative_energy_kj_per_mol_atoms": 56.38, "delta_e_f_ev_per_fu": 7.71, "lattice": [[-2.0750, 2.6730, 2.8807], [1.5448, -2.4405, 3.3773], [3.6134, 2.5784, 0.2103]], "species": ["Ni", "Cu", "Cu", "Cu", "V"], "fractional_positions": [[0.5000, 0.5000, 0.5000], [0.0000, 0.5000, 0.0000], [0.0000, 0.0000, 0.5000], [0.5000, 0.0000, 0.0000], [0.0000, 0.0000, 0.0000]]}

{"formula": "VCuNi6", "functional": "PBE", "state": "relaxed", "relative_energy_kj_per_mol_atoms": 3.00, "delta_e_f_ev_per_fu": -0.68, "lattice": [[-2.0666, 1.0222, -3.3251], [-4.3369, -0.8060, 2.4477], [2.1292, 4.5727, 0.0824]], "species": ["V", "Cu", "Ni", "Ni", "Ni", "Ni", "Ni", "Ni"], "fractional_positions": [[0.0000, 0.0833, 0.9167], [0.5000, 0.4166, 0.5834], [0.0000, 0.0828, 0.4163], [0.0000, 0.5837, 0.9172], [0.0000, 0.5837, 0.4163], [0.5000, 0.4184, 0.0843], [0.5000, 0.9157, 0.5816], [0.5000, 0.9156, 0.0844]]}

{"formula": "VCuNi5", "functional": "PBE", "state": "relaxed", "relative_energy_kj_per_mol_atoms": 16.08, "delta_e_f_ev_per_fu": 1.41, "lattice": [[8.0390, 0.0000, 0.0000], [0.0000, 4.5649, 0.0000], [-4.0195, -2.2825, 2.2758]], "species": ["V", "Cu", "Ni", "Ni", "Ni", "Ni", "Ni"], "fractional_positions": [[0.5602, 0.0000, 0.0000], [0.6933, 0.5000, 0.0000], [0.1810, 0.2430, 0.4860], [0.9632, 0.5000, 0.0000], [0.6950, 0.7570, 0.5140], [0.2190, 0.2442, 0.0000], [0.2190, 0.7558, 0.0000]]}

{"formula": "V2CuNi8", "functional": "PBE", "state": "relaxed", "relative_energy_kj_per_mol_atoms": 9.66, "delta_e_f_ev_per_fu": 0.96, "lattice": [[-1.9847, 3.3015, 1.6176], [-6.0737, -0.4590, 1.4832], [-1.6201, -1.9583, 6.0083]], "species": ["V", "V", "Cu", "Ni", "Ni", "Ni", "Ni", "Ni", "Ni", "Ni", "Ni"], "fractional_positions": [[0.0000, 0.3071, 0.3858], [0.0000, 0.6929, 0.6142], [0.5000, 0.0000, 0.0000], [0.8477, 0.1019, 0.2281], [0.8477, 0.3300, 0.7719], [0.3036, 0.4153, 0.0000], [0.5000, 0.7900, 0.4200], [0.5000, 0.2100, 0.5800], [0.6964, 0.5847, 0.0000], [0.1523, 0.6700, 0.2281], [0.1523, 0.8981, 0.7719]]}

{"formula": "VCuNi5", "functional": "PBE", "state": "relaxed", "relative_energy_kj_per_mol_atoms": 0.00, "delta_e_f_ev_per_fu": 0.24, "lattice": [[-0.7169, 1.7573, -2.9949], [-2.8242, -2.0743, -0.5412], [-3.8413, 4.3275, 3.4588]], "species": ["V", "Cu", "Ni", "Ni", "Ni", "Ni", "Ni"], "fractional_positions": [[0.0000, 0.0000, 0.5000], [0.5000, 0.5000, 0.0000], [0.0000, 0.5000, 0.7570], [0.0000, 0.5000, 0.2430], [0.5000, 0.0000, 0.7570], [0.5000, 0.0000, 0.2430], [0.5000, 0.5000, 0.5000]]}

{"formula": "VCuNi3", "functional": "PBE", "state": "relaxed", "relative_energy_kj_per_mol_atoms": 0.00, "delta_e_f_ev_per_fu": -0.19, "lattice": [[2.4821, 0.0010, 0.0002], [0.0025, 6.3943, 0.8781], [0.0015, 1.2163, 7.4772]], "species": ["V", "V", "Cu", "Cu", "Ni", "Ni", "Ni", "Ni", "Ni", "Ni"], "fractional_positions": [[0.7515, 0.2097, 0.9597], [0.2485, 0.7903, 0.0403], [0.7510, 0.2016, 0.4335], [0.2490, 0.7984, 0.5665], [0.2507, 0.4121, 0.1509], [0.7493, 0.5879, 0.8491], [0.2521, 0.9933, 0.2443], [0.7479, 0.0067, 0.7557], [0.2499, 0.3810, 0.6497], [0.7501, 0.6190, 0.3503]]}

{"formula": "VCu2Ni3", "functional": "PBE", "state": "relaxed", "delta_e_f_ev_per_fu": 0.25, "lattice": [[4.5671, 0.0000, 0.0000], [0.0000, 4.4093, -2.2496], [0.0000, 0.6457, 6.7115]], "species": ["V", "V", "Cu", "Cu", "Cu", "Cu", "Ni", "Ni", "Ni", "Ni", "Ni", "Ni"], "fractional_positions": [[0.7500, 0.3341, 0.6682], [0.2500, 0.6659, 0.3318], [0.0000, 0.7510, 0.0000], [0.5000, 0.2490, 0.0000], [0.0000, 0.2490, 0.0000], [0.5000, 0.7510, 0.0000], [0.7500, 0.8429, 0.6858], [0.2500, 0.1571, 0.3142], [0.7500, 0.9224, 0.3494], [0.2500, 0.0776, 0.6506], [0.7500, 0.4270, 0.3494], [0.2500, 0.5730, 0.6506]]}

{"formula": "V5Cu2Ni12", "functional": "PBE", "state": "relaxed", "delta_e_f_ev_per_fu": 2.96, "lattice": [[-4.0336, 2.5151, 0.6160], [-1.5759, -6.3225, -3.1530], [0.3776, -1.2941, 7.7557]], "species": ["V", "V", "V", "V", "V", "Cu", "Cu", "Ni", "Ni", "Ni", "Ni", "Ni", "Ni", "Ni", "Ni", "Ni", "Ni", "Ni", "Ni"], "fractional_positions": [[0.3101, 0.6202, 0.6319], [0.3656, 0.7312, 0.1338], [0.0000, 0.0000, 0.5000], [0.6344, 0.2688, 0.8662], [0.6899, 0.3798, 0.3681], [0.7510, 0.0000, 0.0000], [0.2490, 0.0000, 0.0000], [0.1166, 0.2332, 0.3117], [0.0378, 0.5970, 0.8853], [0.5591, 0.5970, 0.8853], [0.0995, 0.6933, 0.3890], [0.5938, 0.6933, 0.3890], [0.4844, 0.9688, 0.6431], [0.5156, 0.0312, 0.3569], [0.9005, 0.3067, 0.6110], [0.4062, 0.3067, 0.6110], [0.9622, 0.4030, 0.1147], [0.4409, 0.4030, 0.1147], [0.8834, 0.7668, 0.6883]]}

{"formula": "V2CuNi9", "functional": "PBE", "state": "relaxed", "delta_e_f_ev_per_fu": -2.04, "lattice": [[3.5533, 0.0000, 0.0000], [0.0000, 3.5533, 0.0000], [0.0000, 0.0000, 10.6198]], "species": ["V", "V", "Cu", "Ni", "Ni", "Ni", "Ni", "Ni", "Ni", "Ni", "Ni", "Ni"], "fractional_positions": [[0.0000, 0.0000, 0.3262], [0.0000, 0.0000, 0.6738], [0.0000, 0.0000, 0.0000], [0.5000, 0.5000, 0.0000], [0.5000, 0.5000, 0.3358], [0.5000, 0.5000, 0.6642], [0.5000, 0.0000, 0.1704], [0.5000, 0.0000, 0.5000], [0.5000, 0.0000, 0.8296], [0.0000, 0.5000, 0.1704], [0.0000, 0.5000, 0.5000], [0.0000, 0.5000, 0.8296]]}

The following total DFT energy (no corrections) values (in eV per atom) correspond, in order, to the records above: -3.34, -4.50, -2.32, -3.16, -3.73, -2.97, -4.17, -6.80, -5.51, -6.77, -4.48, -6.25, -5.80, -5.65, -3.89, -6.07, -5.82, -6.15, -5.98, -6.15, -5.73, -6.33, -6.37.